Computed, not measured: an optimized crystal structure of ZnInBr at the PBE level of DFT.

CIF file:
```
data_ZnInBr
_symmetry_space_group_name_H-M 'P 1'
_symmetry_Int_Tables_number 1
_cell_length_a 3.877
_cell_length_b 3.933
_cell_length_c 6.435
_cell_angle_alpha 107.99
_cell_angle_beta 107.22
_cell_angle_gamma 90.16
loop_
_symmetry_equiv_pos_as_xyz
'x,y,z'
loop_
_atom_site_label
_atom_site_type_symbol
_atom_site_fract_x
_atom_site_fract_y
_atom_site_fract_z
_atom_site_occupancy
Br1 Br 0.013 0.543 0.146 1
In1 In 0.460 0.767 0.603 1
Zn1 Zn 0.035 0.336 0.738 1
```

Values from the calculation:
- Final energy: -6.41 eV for the cell shown
- Fermi-level density of states: 0.15 states/eV per atom
- E above lowest polymorph: 32.1 meV/atom
- ΔE_f (raw): -242.2 meV per atom